Record 1
# TlFe | the Alexandria database | GGA-PBE | relaxed
data_TlFe
_symmetry_space_group_name_H-M 'R -3 m'
_symmetry_Int_Tables_number 166
_symmetry_space_group_name_Hall '-R 3 2"'
_cell_length_a 4.0791
_cell_length_b 4.0791
_cell_length_c 16.7588
_cell_angle_alpha 90.00
_cell_angle_beta 90.00
_cell_angle_gamma 120.00
loop_
_atom_site_label
_atom_site_fract_x
_atom_site_fract_y
_atom_site_fract_z
_atom_site_occupancy
Tl1 0.0000 0.0000 0.1006 1
Fe1 0.0000 0.0000 0.3285 1
# Crystal system = trigonal
# Calculated total energy = -4.870 eV per atom
# Magnetization = 1.0676 μB/atom
# Calculated formation energy = 52.5 kJ per mole of atoms



Record 2
# TlFe2 | the Alexandria database | GGA-PBE | relaxed
data_TlFe2
_symmetry_space_group_name_H-M 'F m -3 m'
_symmetry_Int_Tables_number 225
_symmetry_space_group_name_Hall '-F 4 2 3'
_cell_length_a 6.121
_cell_length_b 6.121
_cell_length_c 6.121
_cell_angle_alpha 90.00
_cell_angle_beta 90.00
_cell_angle_gamma 90.00
loop_
_atom_site_label
_atom_site_fract_x
_atom_site_fract_y
_atom_site_fract_z
_atom_site_occupancy
Tl1 0.000 0.000 0.000 1
Fe1 0.250 0.250 0.250 1
# Crystal system = cubic
# Calculated total energy = -5.408 eV per atom
# Magnetization = 1.7898 μB/atom
# Calculated formation energy = 98.7 kJ per mole of atoms